[1]
Computed, not measured: SrNiIr2 after structural relaxation at the PBE level of DFT.

Lattice parameters (Å, degrees): 2.871 4.749 4.967 90.00 90.00 90.00
Fractional positions:
Ir1 0.000 0.000 0.000
Ir2 0.500 0.500 0.000
Ni1 0.500 0.000 0.500
Sr1 0.000 0.500 0.500

Final energy = -23.50 eV/cell
E_form = 0.42 eV/atom
Space group = Pmmm
Density = 13.02 g cm⁻³
V = 16.93 A^3/atom
Excess energy over the best structure of this formula in the dataset = 223.0 meV per atom

---

[2]
Computed, not measured: Ca2PPb after structural relaxation at the PBE level of DFT.

Lattice parameters (Å, degrees): 3.516 4.105 9.092 90.00 90.00 90.00
Fractional positions:
Ca1 0.000 0.000 0.008
Ca2 0.500 0.500 0.407
P1 0.000 0.000 0.309
Pb1 0.500 0.500 0.777

Final energy = -14.91 eV/cell
E_form = -0.45 eV/atom
Space group = Pmm2
Density = 4.03 g cm⁻³
V = 32.81 A^3/atom
Excess energy over the best structure of this formula in the dataset = 240.0 meV per atom

---

[3]
Computed, not measured: YTm3Pd3 after structural relaxation at the PBE level of DFT.

Lattice parameters (Å, degrees): 6.000 5.940 6.000 109.27 109.67 109.27
Fractional positions:
Y1 0.000 0.503 0.000
Tm1 0.500 0.004 0.000
Tm2 0.500 0.504 0.500
Tm3 0.000 0.004 0.500
Pd1 0.500 0.504 0.000
Pd2 0.500 0.004 0.500
Pd3 0.000 0.504 0.500

Final energy = -40.58 eV/cell
E_form = -0.73 eV/atom
Space group = R-3m
Density = 9.21 g cm⁻³
V = 23.57 A^3/atom
Excess energy over the best structure of this formula in the dataset = 0.0 meV per atom

---

[4]
Computed, not measured: CoTcMo2Pt after structural relaxation at the PBE level of DFT.

Lattice parameters (Å, degrees): 4.712 4.432 4.712 90.00 90.00 90.00
Fractional positions:
Mo1 0.000 0.000 0.500
Mo2 0.500 0.000 0.000
Co1 0.000 0.500 0.000
Tc1 0.500 0.500 0.500
Pt1 0.000 0.000 0.000

Final energy = -35.44 eV/cell
E_form = 1.95 eV/atom
Space group = P4/mmm
Density = 9.18 g cm⁻³
V = 19.68 A^3/atom